LaAlTe2 | PBE-GGA | optimized geometry

Cell lengths 3.950, 4.075, 7.530 Å; angles 72.13, 90.00, 90.00 degrees
Sites, in units of the cell vectors:
La (0.500, 0.750, 0.750)
Al (0.500, 0.250, 0.250)
Te (0.000, 0.394, 0.498)
Te (0.000, 0.106, 0.002)

Properties
- E_tot (eV per atom) = -4.525
- formation energy from raw total energies (eV/atom) = -0.79
- DOS at the Fermi energy (states/eV per atom) = 0.55
- SG = P2/m (10)